one | GGA-PBE Co2Sn6Ir, optimized geometry; space group = P-31m (162); density = 8204 kg/m3
1.0
6.1123 0.0000 0.0000
-3.0561 5.2934 0.0000
0.0000 0.0000 6.3952
Co Sn Ir
2 6 1
Cartesian
0.0000 3.5289 0.0000
3.0561 1.7645 0.0000
-1.0196 1.7660 1.5185
-2.0365 3.5273 4.8768
2.0393 0.0000 1.5185
1.0196 1.7660 4.8768
4.0730 0.0000 4.8768
2.0365 3.5273 1.5185
0.0000 0.0000 3.1976

***

two | GGA-PBE Co2Sn6Ir, optimized geometry; space group = P2_1/c (14); density = 9052 kg/m3
1.0
6.5350 0.0000 0.0000
0.0000 6.5756 0.0000
-2.8784 0.0000 8.7290
Co Sn Ir
4 12 2
Cartesian
0.7457 0.6723 1.7140
-0.6935 2.6155 6.0784
4.3501 3.9600 2.6505
2.9109 5.9033 7.0150
-1.9120 1.1810 7.8778
-0.4728 2.1068 3.5133
-1.3338 4.5088 8.0465
0.1054 5.3545 3.6820
0.7795 0.5103 6.1292
2.2187 2.7775 1.7648
1.4379 3.7980 6.9642
2.8772 6.0653 2.5997
3.5512 1.2210 5.0469
4.9904 2.0667 0.6825
4.1294 4.4687 5.2156
5.5686 5.3946 0.8512
3.2675 0.0000 0.0000
1.8283 3.2878 4.3645

***

How do the energies compare? Relative to the most stable structure, in kJ/mol of atoms: one 0.0; two 2.3.